This record from the Alexandria database describes a relaxed structure of FeNiSn. The functional is GGA-PBE.

The structure in POSCAR format:
```
FeNiSn
1.0
-2.6719 -0.1026 -1.1842
0.3766 -4.1589 -0.4894
-1.2554 -2.5988 3.0577
Fe Ni Sn
1 1 1
direct
0.5000 0.6667 0.6667
0.5000 0.3333 0.3334
0.0000 0.0000 0.0000
```

Properties
DOS at the Fermi energy   1.02 states/eV/atom
Formation energy   0.7 eV/f.u.
V   44.8 Å³/cell
Total magnetic moment   0.911 μB/atom

This record from the Alexandria database describes a relaxed structure of Pm4Tm5Tl. The functional is GGA-PBE.

The structure in POSCAR format:
```
Pm4Tm5Tl
1.0
5.7664 0.0000 0.0000
2.8832 7.5541 0.0000
2.8832 0.0000 7.5541
Pm Tm Tl
4 5 1
direct
0.1468 0.3139 0.3138
0.4606 0.6862 0.3139
0.7745 0.6861 0.6862
0.4607 0.3138 0.6861
0.7717 0.3684 0.0000
0.1402 0.6316 0.0000
0.7717 0.0000 0.3684
0.6636 0.0000 0.0000
0.1402 0.0000 0.6316
0.1803 0.0000 0.0000
```

Properties
DOS at the Fermi energy   1.47 states/eV/atom
Formation energy   1.0 eV/f.u.
V   329.1 Å³/cell
Total magnetic moment   0.000 μB/atom

This record from the Alexandria database describes a relaxed structure of Zr3MoSe. The functional is GGA-PBE.

The structure in POSCAR format:
```
Zr3MoSe
1.0
-3.5377 3.4004 -0.4777
-1.6152 -2.2531 -4.0769
-3.0302 -2.7689 2.7308
Zr Se Mo
3 1 1
direct
0.0000 0.5000 0.0000
0.5000 0.0000 0.0000
0.0000 0.0000 0.5000
0.0000 0.0000 0.0000
0.5000 0.5000 0.5000
```

Properties
Energy relative to the elements, uncorrected   1.9 eV/f.u.
DOS at the Fermi energy   0.97 states/eV/atom
V   119.8 Å³/cell
Total magnetic moment   0.373 μB/atom

What did the first record say?
This record from the Alexandria database describes a relaxed structure of FeNiSn. The functional is GGA-PBE.

The structure in POSCAR format:
```
FeNiSn
1.0
-2.6719 -0.1026 -1.1842
0.3766 -4.1589 -0.4894
-1.2554 -2.5988 3.0577
Fe Ni Sn
1 1 1
direct
0.5000 0.6667 0.6667
0.5000 0.3333 0.3334
0.0000 0.0000 0.0000
```

Properties
DOS at the Fermi energy   1.02 states/eV/atom
Formation energy   0.7 eV/f.u.
V   44.8 Å³/cell
Total magnetic moment   0.911 μB/atom